(1)
# CaAl2O4 (meta-GGA SCAN, single point on PBEsol structure)
data_CaAl2O4
_cell_length_a 5.5619
_cell_length_b 3.7681
_cell_length_c 7.0456
_cell_angle_alpha 90.00
_cell_angle_beta 101.38
_cell_angle_gamma 90.00
_space_group_name_H-M_alt 'P 1 21/m 1'
_space_group_IT_number 11
loop_
_space_group_symop_operation_xyz
'x,y,z'
'-x,-y,-z'
'-x,y+1/2,-z'
'x,-y+1/2,z'
loop_
_atom_site_label
_atom_site_fract_x
_atom_site_fract_y
_atom_site_fract_z
_atom_site_occupancy
Ca1 0.2313 0.2500 0.4284 1
Al1 0.1560 0.7500 0.1132 1
Al2 0.3462 0.2500 0.8704 1
O1 0.0418 0.2500 0.6953 1
O2 0.1436 0.2500 0.0751 1
O3 0.3580 0.7500 0.9277 1
O4 0.4431 0.7500 0.3085 1
# energy above the lowest structure with this stoichiometry = 0.0000 eV/atom
# D(E_F) = 0.0 states/eV per cell
# energy = -10.5319 eV/atom
# formation energy from raw total energies = -23.63 eV per formula unit
# total moment = 0.000 Bohr magnetons per cell



(2)
# SrMn2CoPt (meta-GGA SCAN, single point on PBEsol structure)
data_SrMn2CoPt
_cell_length_a 4.7424
_cell_length_b 4.7424
_cell_length_c 4.9901
_cell_angle_alpha 90.00
_cell_angle_beta 90.00
_cell_angle_gamma 90.00
_space_group_name_H-M_alt 'P 4/m m m'
_space_group_IT_number 123
_space_group_name_Hall '-P 4 2'
loop_
_atom_site_label
_atom_site_fract_x
_atom_site_fract_y
_atom_site_fract_z
_atom_site_occupancy
Sr1 0.0000 0.0000 0.0000 1
Mn1 0.0000 0.5000 0.0000 1
Co1 0.5000 0.5000 0.5000 1
Pt1 0.0000 0.0000 0.5000 1
# DFT formation energy = 1998 meV per atom
# D(E_F) = 3.2 states/eV per cell
# energy = -27.2584 eV/atom
# total moment = 9.822 Bohr magnetons per cell



(3)
# BeInRh (meta-GGA SCAN, single point on PBEsol structure)
data_BeInRh
_cell_length_a 5.6198
_cell_length_b 5.6198
_cell_length_c 5.6198
_cell_angle_alpha 90.00
_cell_angle_beta 90.00
_cell_angle_gamma 90.00
_space_group_name_H-M_alt 'F -4 3 m'
_space_group_IT_number 216
_space_group_name_Hall 'F -4 2 3'
loop_
_atom_site_label
_atom_site_fract_x
_atom_site_fract_y
_atom_site_fract_z
_atom_site_occupancy
Be1 0.0000 0.0000 0.0000 1
In1 0.2500 0.2500 0.7500 1
Rh1 0.2500 0.2500 0.2500 1
# energy above the lowest structure with this stoichiometry = 0.1862 eV/atom
# DFT formation energy = -212 meV per atom
# D(E_F) = 5.5 states/eV per cell
# energy = -24.0493 eV/atom
# total moment = 0.000 Bohr magnetons per cell



(4)
# MgSe2N2 (meta-GGA SCAN, single point on PBEsol structure)
data_MgSe2N2
_cell_length_a 5.0328
_cell_length_b 5.0328
_cell_length_c 3.9361
_cell_angle_alpha 90.00
_cell_angle_beta 90.00
_cell_angle_gamma 90.00
_space_group_name_H-M_alt 'P 4/m m m'
_space_group_IT_number 123
_space_group_name_Hall '-P 4 2'
loop_
_atom_site_label
_atom_site_fract_x
_atom_site_fract_y
_atom_site_fract_z
_atom_site_occupancy
Mg1 0.0000 0.0000 0.0000 1
Se1 0.0000 0.5000 0.0000 1
N1 0.0000 0.0000 0.5000 1
N2 0.5000 0.5000 0.5000 1
# energy above the lowest structure with this stoichiometry = 0.6294 eV/atom
# D(E_F) = 1.6 states/eV per cell
# energy = -11.1422 eV/atom
# formation energy from raw total energies = 8.00 eV per formula unit
# total moment = 2.072 Bohr magnetons per cell